Entry 1:
Below is crystalline DyHo6Al2 at its relaxed geometry, with properties calculated at the GGA-PBE level.

## Properties
excess energy over the best structure of this formula in the dataset = 697.4 meV/atom
formation energy = 0.53 eV/atom
volume = 311.37 Å³ per cell

Lattice parameters (Å, degrees): 14.1933 14.1933 14.1933 160.73 160.73 27.39
Sites, in units of the cell vectors:
Dy 0.0000 0.0000 0.0000
Ho 0.1443 0.6489 0.0000
Ho 0.2500 0.7500 0.5000
Ho 0.3511 0.3511 0.4954
Ho 0.6489 0.1443 0.0000
Ho 0.7500 0.2500 0.5000
Ho 0.8557 0.8557 0.5046
Al 0.3145 0.3145 0.0000
Al 0.6855 0.6855 0.0000

Entry 2:
Below is crystalline Tl12SnSb2 at its relaxed geometry, with properties calculated at the GGA-PBE level.

## Properties
formation energy without anion corrections = 124 meV/atom
volume = 550.64 Å³ per cell

Lattice parameters (Å, degrees): 4.7137 4.7137 24.7825 90.00 90.00 90.00
Sites, in units of the cell vectors:
Tl 0.0000 0.0000 0.1833
Tl 0.0000 0.0000 0.3131
Tl 0.0000 0.0000 0.6869
Tl 0.0000 0.0000 0.8167
Tl 0.0000 0.5000 0.0851
Tl 0.0000 0.5000 0.4296
Tl 0.0000 0.5000 0.5704
Tl 0.0000 0.5000 0.9149
Tl 0.5000 0.0000 0.0851
Tl 0.5000 0.0000 0.4296
Tl 0.5000 0.0000 0.5704
Tl 0.5000 0.0000 0.9149
Sn 0.5000 0.5000 0.0000
Sb 0.5000 0.5000 0.3361
Sb 0.5000 0.5000 0.6639

Entry 3:
Below is crystalline TlOs7 at its relaxed geometry, with properties calculated at the GGA-PBE level.

## Properties
formation energy = 0.69 eV/atom
volume = 121.40 Å³ per cell

Lattice parameters (Å, degrees): 5.5579 5.5579 5.5579 60.00 60.00 60.00
Sites, in units of the cell vectors:
Tl 0.0000 0.0000 0.0000
Os 0.0000 0.0000 0.5000
Os 0.0000 0.5000 0.0000
Os 0.0000 0.5000 0.5000
Os 0.5000 0.0000 0.0000
Os 0.5000 0.0000 0.5000
Os 0.5000 0.5000 0.0000
Os 0.5000 0.5000 0.5000